MnCr2Fe after structural relaxation, computed with GGA-PBEsol.

Properties
- symmetry = No. 12
- polymorph energy (0 for the lowest one) (eV/atom) = 0.0205

a b c (Å): 4.606 4.606 2.400
angles (deg): 99.51 99.51 116.72
Positions (direct):
Mn: 0.000 0.000 0.000
Cr: 0.000 0.500 0.500
Cr: 0.500 0.000 0.500
Fe: 0.500 0.500 0.000

---

MnCr2Fe after structural relaxation, computed with GGA-PBEsol.

Properties
- symmetry = No. 6
- polymorph energy (0 for the lowest one) (eV/atom) = 0.0219

a b c (Å): 2.385 3.940 4.653
angles (deg): 90.00 99.86 90.00
Positions (direct):
Mn: 0.000 0.000 0.000
Cr: 0.541 0.000 0.502
Cr: 0.766 0.500 0.241
Fe: 0.291 0.500 0.744

---

MnCr2Fe after structural relaxation, computed with GGA-PBEsol.

Properties
- symmetry = No. 12
- polymorph energy (0 for the lowest one) (eV/atom) = 0.1154

a b c (Å): 4.272 4.272 4.302
angles (deg): 99.37 99.37 33.50
Positions (direct):
Mn: 0.000 0.000 0.000
Cr: 0.245 0.245 0.746
Cr: 0.755 0.755 0.254
Fe: 0.500 0.500 0.500

---

| no. | calculated total energy (eV for the cell shown) |
| --- | --- |
| 1 | -38.84 |
| 2 | -38.83 |
| 3 | -38.46 |